Record 1
# FeSb2

A relaxed FeSb2 crystal (PBE, Alexandria).

```
12
Lattice="5.937 0.000 0.000 -2.969 5.142 0.000 0.000 0.000 11.085" Properties=species:S:1:pos:R:3 pbc="T T T"
Fe 0.000 3.428 0.564
Fe 0.000 3.428 4.979
Fe 2.969 1.714 6.106
Fe 2.969 1.714 10.522
Sb 0.000 0.000 0.000
Sb 0.000 0.000 5.543
Sb 0.000 1.763 2.771
Sb -1.442 4.260 2.771
Sb 1.527 0.881 8.314
Sb 1.442 4.260 2.771
Sb 4.410 0.881 8.314
Sb 2.969 3.379 8.314
```

Properties
formation energy without anion corrections	907	meV/atom

Record 2
# FeSb5

A relaxed FeSb5 crystal (PBE, Alexandria).

```
12
Lattice="4.062 0.000 0.000 0.000 16.691 0.000 0.000 0.000 5.056" Properties=species:S:1:pos:R:3 pbc="T T T"
Fe 0.000 0.000 0.000
Fe 2.031 8.345 0.000
Sb 0.000 0.000 2.528
Sb 0.000 5.203 2.528
Sb 0.000 6.745 0.000
Sb 0.000 9.946 0.000
Sb 0.000 11.488 2.528
Sb 2.031 1.600 0.000
Sb 2.031 3.143 2.528
Sb 2.031 8.345 2.528
Sb 2.031 13.548 2.528
Sb 2.031 15.091 0.000
```

Properties
energy relative to the lowest polymorph listed for this composition	0.000	eV per atom
formation energy without anion corrections	139	meV/atom

Record 3
# FeSb2

A relaxed FeSb2 crystal (PBE, Alexandria).

```
3
Lattice="3.564 0.000 0.000 -1.782 3.086 0.000 0.000 0.000 5.817" Properties=species:S:1:pos:R:3 pbc="T T T"
Fe 0.000 0.000 0.000
Sb 0.000 2.058 1.609
Sb 1.782 1.029 4.207
```

Properties
formation energy without anion corrections	151	meV/atom

Record 4
# FeSb4

A relaxed FeSb4 crystal (PBE, Alexandria).

```
10
Lattice="6.428 0.000 0.000 0.000 6.428 0.000 0.000 0.000 6.428" Properties=species:S:1:pos:R:3 pbc="T T T"
Fe 0.000 0.000 0.000
Fe 3.214 3.214 3.214
Sb 1.607 1.607 1.607
Sb 1.607 1.607 4.821
Sb 1.607 4.821 1.607
Sb 1.607 4.821 4.821
Sb 4.821 1.607 1.607
Sb 4.821 1.607 4.821
Sb 4.821 4.821 1.607
Sb 4.821 4.821 4.821
```

Properties
energy relative to the lowest polymorph listed for this composition	0.153	eV per atom
formation energy without anion corrections	299	meV/atom

Record 5
# FeSb2

A relaxed FeSb2 crystal (PBE, Alexandria).

```
6
Lattice="5.846 0.000 0.000 0.000 6.516 0.000 0.000 0.000 3.164" Properties=species:S:1:pos:R:3 pbc="T T T"
Fe 0.000 0.000 0.000
Fe 2.923 3.258 1.582
Sb 1.115 2.306 0.000
Sb 1.808 5.563 1.582
Sb 4.038 0.952 1.582
Sb 4.732 4.210 0.000
```

Properties
formation energy without anion corrections	-29	meV/atom

Record 6
# FeSb4

A relaxed FeSb4 crystal (PBE, Alexandria).

```
10
Lattice="5.821 0.000 0.000 0.000 6.452 0.000 -0.209 0.000 6.718" Properties=species:S:1:pos:R:3 pbc="T T T"
Fe -0.052 1.061 1.679
Fe -0.157 5.391 5.038
Sb 1.261 0.575 6.370
Sb 1.365 5.877 3.011
Sb 1.501 2.940 2.242
Sb 1.396 3.512 5.601
Sb 4.216 2.940 1.117
Sb 4.112 3.512 4.476
Sb 4.248 0.575 3.707
Sb 4.352 5.877 0.348
```

Properties
energy relative to the lowest polymorph listed for this composition	0.000	eV per atom
formation energy without anion corrections	146	meV/atom

Record 7
# Fe3Sb

A relaxed Fe3Sb crystal (PBE, Alexandria).

```
4
Lattice="3.245 0.000 0.000 0.000 3.245 0.000 0.000 0.000 5.445" Properties=species:S:1:pos:R:3 pbc="T T T"
Fe 0.000 0.000 0.000
Fe 1.622 1.622 1.241
Fe 1.622 1.622 4.204
Sb 0.000 0.000 2.722
```

Properties
formation energy without anion corrections	193	meV/atom

Record 8
# FeSb2

A relaxed FeSb2 crystal (PBE, Alexandria).

```
9
Lattice="7.424 0.000 0.000 -3.712 6.429 0.000 0.000 0.000 3.822" Properties=species:S:1:pos:R:3 pbc="T T T"
Fe 0.000 0.000 0.000
Fe 0.000 4.286 1.911
Fe 3.712 2.143 1.911
Sb -0.969 1.678 1.911
Sb -2.261 3.916 0.000
Sb 1.937 0.000 1.911
Sb 1.451 2.514 0.000
Sb 4.521 0.000 0.000
Sb 2.743 4.751 1.911
```

Properties
formation energy without anion corrections	226	meV/atom

Record 9
# FeSb2

A relaxed FeSb2 crystal (PBE, Alexandria).

```
6
Lattice="0.000 4.294 4.294 4.294 0.000 4.294 4.294 4.294 0.000" Properties=species:S:1:pos:R:3 pbc="T T T"
Fe 1.073 1.073 1.073
Fe 7.514 7.514 7.514
Sb 4.294 2.147 2.147
Sb 2.147 4.294 2.147
Sb 2.147 2.147 4.294
Sb 4.294 4.294 4.294
```

Properties
formation energy without anion corrections	1092	meV/atom

Record 10
# FeSb2

A relaxed FeSb2 crystal (PBE, Alexandria).

```
12
Lattice="13.715 0.000 0.000 0.000 3.160 0.000 -1.313 0.000 6.224" Properties=species:S:1:pos:R:3 pbc="T T T"
Fe 0.000 0.000 0.000
Fe -0.611 1.580 4.251
Fe 6.858 1.580 0.000
Fe 6.247 0.000 4.251
Sb 0.978 0.000 2.564
Sb 1.161 0.000 5.659
Sb 4.096 1.580 4.127
Sb 5.232 0.000 1.343
Sb 7.836 1.580 2.564
Sb 8.018 1.580 5.659
Sb 10.954 0.000 4.127
Sb 12.089 1.580 1.343
```

Properties
formation energy without anion corrections	170	meV/atom

Record 11
# FeSb2

A relaxed FeSb2 crystal (PBE, Alexandria).

```
6
Lattice="3.165 0.000 0.000 0.000 3.165 0.000 0.000 0.000 12.774" Properties=species:S:1:pos:R:3 pbc="T T T"
Fe 0.000 0.000 0.000
Fe 1.582 1.582 6.387
Sb 0.000 0.000 4.791
Sb 0.000 0.000 7.982
Sb 1.582 1.582 1.596
Sb 1.582 1.582 11.178
```

Properties
formation energy without anion corrections	138	meV/atom

Record 12
# FeSb4

A relaxed FeSb4 crystal (PBE, Alexandria).

```
10
Lattice="5.986 0.000 0.000 0.000 5.986 0.000 0.000 0.000 8.243" Properties=species:S:1:pos:R:3 pbc="T T T"
Fe 0.000 0.000 0.000
Fe 2.993 2.993 4.121
Sb 0.000 0.000 2.592
Sb 0.000 0.000 5.651
Sb 0.000 2.993 2.061
Sb 0.000 2.993 6.182
Sb 2.993 0.000 2.061
Sb 2.993 0.000 6.182
Sb 2.993 2.993 1.530
Sb 2.993 2.993 6.713
```

Properties
energy relative to the lowest polymorph listed for this composition	0.453	eV per atom
formation energy without anion corrections	598	meV/atom

Record 13
# FeSb2

A relaxed FeSb2 crystal (PBE, Alexandria).

```
3
Lattice="5.190 0.000 0.000 -2.595 4.494 0.000 0.000 0.000 3.007" Properties=species:S:1:pos:R:3 pbc="T T T"
Fe 0.000 0.000 0.000
Sb 0.000 2.996 1.503
Sb 2.595 1.498 1.503
```

Properties
formation energy without anion corrections	712	meV/atom

Record 14
# FeSb2

A relaxed FeSb2 crystal (PBE, Alexandria).

```
12
Lattice="6.291 0.000 0.000 0.000 6.291 0.000 0.000 0.000 5.757" Properties=species:S:1:pos:R:3 pbc="T T T"
Fe 0.000 0.000 1.439
Fe 0.000 0.000 4.318
Fe 3.146 3.146 1.439
Fe 3.146 3.146 4.318
Sb 1.049 2.096 0.000
Sb 1.049 4.195 2.879
Sb 2.096 1.049 2.879
Sb 2.096 5.242 0.000
Sb 4.195 1.049 0.000
Sb 4.195 5.242 2.879
Sb 5.242 2.096 2.879
Sb 5.242 4.195 0.000
```

Properties
formation energy without anion corrections	189	meV/atom

Record 15
# FeSb5

A relaxed FeSb5 crystal (PBE, Alexandria).

```
6
Lattice="6.062 0.000 0.000 -3.031 5.250 0.000 0.000 0.000 5.571" Properties=species:S:1:pos:R:3 pbc="T T T"
Fe 0.000 0.000 0.000
Sb -1.515 2.625 2.785
Sb 0.000 3.500 0.000
Sb 3.031 0.000 2.785
Sb 1.515 2.625 2.785
Sb 3.031 1.750 0.000
```

Properties
energy relative to the lowest polymorph listed for this composition	0.634	eV per atom
formation energy without anion corrections	773	meV/atom

Record 16
# FeSb5

A relaxed FeSb5 crystal (PBE, Alexandria).

```
6
Lattice="0.000 4.367 4.367 4.367 0.000 4.367 4.367 4.367 0.000" Properties=species:S:1:pos:R:3 pbc="T T T"
Fe 0.000 0.000 0.000
Sb 3.270 3.270 3.270
Sb 5.465 5.465 3.270
Sb 5.465 3.270 5.465
Sb 6.551 6.551 6.551
Sb 3.270 5.465 5.465
```

Properties
energy relative to the lowest polymorph listed for this composition	0.639	eV per atom
formation energy without anion corrections	777	meV/atom

Record 17
# Fe5Sb3

A relaxed Fe5Sb3 crystal (PBE, Alexandria).

```
16
Lattice="8.073 0.000 0.000 -4.037 6.992 0.000 0.000 0.000 4.795" Properties=species:S:1:pos:R:3 pbc="T T T"
Fe -0.686 1.189 1.199
Fe -3.350 5.803 3.597
Fe 1.373 0.000 1.199
Fe 0.686 1.189 3.597
Fe 0.000 4.661 0.000
Fe 0.000 4.661 2.398
Fe 4.037 2.331 0.000
Fe 4.037 2.331 2.398
Fe 6.700 0.000 3.597
Fe 3.350 5.803 1.199
Sb -1.535 2.659 3.597
Sb -2.501 4.333 1.199
Sb 3.071 0.000 3.597
Sb 1.535 2.659 1.199
Sb 5.003 0.000 1.199
Sb 2.501 4.333 3.597
```

Properties
energy relative to the lowest polymorph listed for this composition	0.111	eV per atom
formation energy without anion corrections	281	meV/atom

Record 18
# Fe5Sb4

A relaxed Fe5Sb4 crystal (PBE, Alexandria).

```
9
Lattice="-2.052 5.088 3.575 2.052 -5.088 3.575 2.052 5.088 -3.575" Properties=species:S:1:pos:R:3 pbc="T T T"
Fe 0.000 0.000 0.000
Fe 2.052 3.756 -1.154
Fe 0.000 1.332 2.421
Fe 0.000 3.874 2.454
Fe 0.000 6.303 2.454
Sb 2.052 0.000 1.504
Sb 0.000 2.605 0.070
Sb 0.000 0.000 4.616
Sb 0.000 7.572 0.070
```

Properties
formation energy without anion corrections	19	meV/atom

Record 19
# Fe3Sb

A relaxed Fe3Sb crystal (PBE, Alexandria).

```
8
Lattice="5.493 0.000 0.000 -2.746 4.757 0.000 0.000 0.000 4.345" Properties=species:S:1:pos:R:3 pbc="T T T"
Fe 0.000 1.441 1.086
Fe -1.498 4.036 1.086
Fe 1.248 0.721 3.259
Fe 1.498 4.036 1.086
Fe 4.245 0.721 3.259
Fe 2.746 3.316 3.259
Sb 0.000 3.171 3.259
Sb 2.746 1.586 1.086
```

Properties
formation energy without anion corrections	82	meV/atom

Record 20
# FeSb4

A relaxed FeSb4 crystal (PBE, Alexandria).

```
5
Lattice="4.994 0.000 0.000 0.000 4.994 0.000 0.000 0.000 4.994" Properties=species:S:1:pos:R:3 pbc="T T T"
Fe 0.000 0.000 0.000
Sb 0.000 0.000 2.497
Sb 0.000 2.497 0.000
Sb 2.497 0.000 0.000
Sb 2.497 2.497 2.497
```

Properties
energy relative to the lowest polymorph listed for this composition	0.206	eV per atom
formation energy without anion corrections	352	meV/atom